(1)
# Li7TlPb4 GGA-PBE relaxed
data_Li7TlPb4
_chemical_formula_sum 'Li14 Tl2 Pb8'
_space_group_name_H-M_alt 'C 1 2/m 1'
_space_group_IT_number 12
_cell_length_a 13.553
_cell_length_b 5.121
_cell_length_c 10.267
_cell_angle_alpha 90.00
_cell_angle_beta 127.20
_cell_angle_gamma 90.00
loop_
_space_group_symop_operation_xyz
'x,y,z'
'-x,-y,-z'
'-x,y,-z'
'x,-y,z'
'x+1/2,y+1/2,z'
'-x+1/2,-y+1/2,-z'
'-x+1/2,y+1/2,-z'
'x+1/2,-y+1/2,z'
loop_
_atom_site_label
_atom_site_type_symbol
_atom_site_fract_x
_atom_site_fract_y
_atom_site_fract_z
Li1 Li 0.000 0.000 0.000
Li2 Li 0.058 0.500 0.341
Li3 Li 0.142 0.000 0.581
Li4 Li 0.216 0.500 0.860
Tl1 Tl 0.000 0.500 0.000
Pb1 Pb 0.078 0.000 0.796
Pb2 Pb 0.200 0.000 0.349
# E_form = -0.19 eV/atom
# density of states at the Fermi level = 2.59 states/eV/f.u.

=====

(2)
# AcSc4S6 GGA-PBE relaxed
data_AcSc4S6
_chemical_formula_sum 'Ac4 Sc16 S24'
_space_group_name_H-M_alt 'C m c m'
_space_group_IT_number 63
_space_group_name_Hall '-C 2c 2'
_cell_length_a 3.810
_cell_length_b 12.245
_cell_length_c 19.219
_cell_angle_alpha 90.00
_cell_angle_beta 90.00
_cell_angle_gamma 90.00
loop_
_atom_site_label
_atom_site_type_symbol
_atom_site_fract_x
_atom_site_fract_y
_atom_site_fract_z
Ac1 Ac 0.000 0.157 0.250
Sc1 Sc 0.000 0.096 0.621
Sc2 Sc 0.000 0.358 0.538
S1 S 0.000 0.000 0.000
S2 S 0.000 0.161 0.750
S3 S 0.000 0.267 0.087
S4 S 0.000 0.461 0.656
# uncorrected formation energy = -1.963 eV per atom
# density of states at the Fermi level = 4.15 states/eV/f.u.

=====

(3)
# Ce2Si3 GGA-PBE relaxed
data_Ce2Si3
_chemical_formula_sum 'Ce16 Si24'
_space_group_name_H-M_alt 'I -4 3 d'
_space_group_IT_number 220
_space_group_name_Hall 'I -4bd 2c 3'
_cell_length_a 9.753
_cell_length_b 9.753
_cell_length_c 9.753
_cell_angle_alpha 90.00
_cell_angle_beta 90.00
_cell_angle_gamma 90.00
loop_
_atom_site_label
_atom_site_type_symbol
_atom_site_fract_x
_atom_site_fract_y
_atom_site_fract_z
Ce1 Ce 0.042 0.042 0.042
Si1 Si 0.000 0.250 0.258
# uncorrected formation energy = -0.436 eV per atom
# offset from the most stable computed form = 1.170 eV/f.u.
# density of states at the Fermi level = 8.02 states/eV/f.u.